[1]
# MgZnTeO

An optimized crystal structure of MgZnTeO (PBE-GGA, OQMD via LeMat-Bulk).

abc: 5.2893 5.2893 6.4707
angles: 90.00 90.00 90.00
Space group P4/nmm (No. 129, origin choice 2)
One atom of each set of equivalent atoms:
1 Mg 0.2500 0.2500 0.2268 x2
2 Zn 0.2500 0.2500 0.6753 x2
3 Te 0.2500 0.7500 0.5000 x2
4 O 0.2500 0.2500 0.9497 x2

Results
Theoretical density: 4.28 g cm⁻³
Total energy: -3.426 eV per atom
Energy above the most stable polymorph in this dataset: 592 meV per atom



[2]
# Tm2Sn2O5

An optimized crystal structure of Tm2Sn2O5 (PBE-GGA, OQMD via LeMat-Bulk).

abc: 4.1375 4.1375 8.2926
angles: 90.00 90.00 90.00
Space group P4/mmm (No. 123)
One atom of each set of equivalent atoms:
1 Tm 0.0000 0.0000 0.2460 x2
2 Sn 0.5000 0.5000 0.0000 x1
3 Sn 0.5000 0.5000 0.5000 x1
4 O 0.0000 0.0000 0.5000 x1
5 O 0.0000 0.5000 0.1748 x4

Results
Magnetization: 0.0 μB per cell
Theoretical density: 7.67 g cm⁻³
Total energy: -6.781 eV per atom
Energy above the most stable polymorph in this dataset: 0 meV per atom



[3]
# LaSmBi2Se2

An optimized crystal structure of LaSmBi2Se2 (PBE-GGA, OQMD via LeMat-Bulk).

abc: 4.3436 4.3436 9.2147
angles: 90.00 90.00 90.00
Space group P4mm (No. 99)
One atom of each set of equivalent atoms:
1 La 0.0000 0.0000 0.0000 x1
2 Sm 0.5000 0.5000 0.3897 x1
3 Bi 0.0000 0.5000 0.6892 x2
4 Se 0.0000 0.0000 0.3255 x1
5 Se 0.5000 0.5000 0.0676 x1

Results
Magnetization: 0.0 μB per cell
Theoretical density: 8.26 g cm⁻³
Total energy: -5.453 eV per atom



[4]
# Y2CuSn6

An optimized crystal structure of Y2CuSn6 (PBE-GGA, OQMD via LeMat-Bulk).

abc: 4.4402 22.5093 4.5107
angles: 90.00 90.00 90.00
Space group Cmmm (No. 65)
One atom of each set of equivalent atoms:
1 Y 0.0000 0.1774 0.0000 x4
2 Cu 0.0000 0.5000 0.5000 x2
3 Sn 0.0000 0.0720 0.5000 x4
4 Sn 0.0000 0.2951 0.5000 x4
5 Sn 0.0000 0.4289 0.0000 x4

Results
Magnetization: 0.0 μB per cell
Theoretical density: 7.02 g cm⁻³
Total energy: -4.934 eV per atom



Q: Look up the theoretical density of the first one.
A: 4.28 g cm⁻³



Q: Number 4 is which compound?
A: Y2CuSn6